The following is a DFT calculation (PBE-GGA) of an optimized crystal structure of SbPb3.

a b c (Å): 11.2513 4.2172 5.5374
angles (deg): 90.00 109.60 90.00
Space group C2/m (No. 12)
Inequivalent atoms, fractional coordinates:
Sb1 0.0000 0.0000 0.0000 (multiplicity 2)
Pb1 0.0000 0.5000 0.5000 (multiplicity 2)
Pb2 0.2374 0.5000 0.2320 (multiplicity 4)

Results
The calculation puts the calculated total energy at -0.1388 Ha/atom. The value obtained for the total moment is 0.00 μB per atom.

The following is a DFT calculation (PBE-GGA) of an optimized crystal structure of PmAsRh2.

a b c (Å): 3.9768 3.9768 9.6491
angles (deg): 90.00 90.00 90.00
Space group P4/nmm (No. 129, origin choice 2)
Inequivalent atoms, fractional coordinates:
Pm1 0.2500 0.2500 0.2090 (multiplicity 2)
As1 0.2500 0.2500 0.6541 (multiplicity 2)
Rh1 0.2500 0.2500 0.9063 (multiplicity 2)
Rh2 0.2500 0.7500 0.5000 (multiplicity 2)

Results
The calculation puts the calculated total energy at -0.2502 Ha/atom. The value obtained for the total moment is 0.00 μB per atom. As for the formation energy: -0.78 eV per atom.

The following is a DFT calculation (PBE-GGA) of an optimized crystal structure of LiReAs2.

a b c (Å): 6.2001 6.2001 6.2001
angles (deg): 90.00 90.00 90.00
Space group Fm-3m (No. 225)
Inequivalent atoms, fractional coordinates:
Li1 0.0000 0.0000 0.0000 (multiplicity 4)
Re1 0.0000 0.0000 0.5000 (multiplicity 4)
As1 0.2500 0.2500 0.2500 (multiplicity 8)

Results
The calculation puts the calculated total energy at -0.2179 Ha/atom. The value obtained for the total moment is 0.00 μB per atom. As for the formation energy: -0.02 eV per atom.

The following is a DFT calculation (PBE-GGA) of an optimized crystal structure of MgFeTc.

a b c (Å): 4.3546 4.3546 2.6293
angles (deg): 90.00 90.00 120.00
Space group P3m1 (No. 156)
Inequivalent atoms, fractional coordinates:
Mg1 0.0000 0.0000 0.0000 (multiplicity 1)
Fe1 0.6667 0.3333 0.6319 (multiplicity 1)
Tc1 0.3333 0.6667 0.4230 (multiplicity 1)

Results
The calculation puts the calculated total energy at -0.2411 Ha/atom. The value obtained for the total moment is 0.72 μB per atom. As for the formation energy: 0.25 eV per atom.